(1)
DFT (PBE) results for crystalline TaMnHg2 at its relaxed geometry.

Geometry as POSCAR:
```
TaMnHg2
1.0
2.076 -2.085 0.000
2.076 2.085 0.000
0.000 0.000 8.803
Ta Mn Hg
1 1 2
direct
0.000 0.000 0.000 Ta
0.500 0.500 0.788 Mn
0.000 0.000 0.550 Hg
0.500 0.500 0.258 Hg
```

ρ ... 13.9 g cm⁻³
Total energy ... -20.4 eV per cell
Symmetry ... Cmm2 (35)
Size of the total moment ... 3.5 Bohr magnetons per cell

=====

(2)
DFT (PBE) results for crystalline TaMnHg at its relaxed geometry.

Geometry as POSCAR:
```
TaMnHg
1.0
0.000 3.064 3.064
3.064 0.000 3.064
3.064 3.064 0.000
Ta Mn Hg
1 1 1
direct
0.000 0.000 0.000 Ta
0.250 0.250 0.250 Mn
0.500 0.500 0.500 Hg
```

ρ ... 12.6 g cm⁻³
Relative energy among the computed polymorphs ... 470.2 meV/atom
Total energy ... -19.1 eV per cell
Symmetry ... F-43m (216)
Size of the total moment ... 0.7 Bohr magnetons per cell

=====

(3)
DFT (PBE) results for crystalline TaMnHg2 at its relaxed geometry.

Geometry as POSCAR:
```
TaMnHg2
1.0
-2.115 2.115 4.100
2.115 -2.115 4.100
2.115 2.115 -4.100
Ta Mn Hg
1 1 2
direct
0.000 0.000 0.000 Ta
0.500 0.500 0.000 Mn
0.250 0.750 0.500 Hg
0.750 0.250 0.500 Hg
```

ρ ... 14.4 g cm⁻³
Total energy ... -19.7 eV per cell
Symmetry ... I4/mmm (139)
Size of the total moment ... 2.2 Bohr magnetons per cell

=====

(4)
DFT (PBE) results for crystalline TaMnHg2 at its relaxed geometry.

Geometry as POSCAR:
```
TaMnHg2
1.0
0.000 3.332 3.332
3.332 0.000 3.332
3.332 3.332 0.000
Ta Mn Hg
1 1 2
direct
0.000 0.000 0.000 Ta
0.250 0.250 0.250 Mn
0.500 0.500 0.500 Hg
0.750 0.750 0.750 Hg
```

ρ ... 14.3 g cm⁻³
Total energy ... -19.3 eV per cell
Symmetry ... F-43m (216)
Size of the total moment ... 2.1 Bohr magnetons per cell

=====

(5)
DFT (PBE) results for crystalline TaMnHg4 at its relaxed geometry.

Geometry as POSCAR:
```
TaMnHg4
1.0
0.000 4.001 4.001
4.001 0.000 4.001
4.001 4.001 0.000
Ta Mn Hg
1 1 4
direct
0.000 0.000 0.000 Ta
0.250 0.250 0.250 Mn
0.125 0.625 0.625 Hg
0.625 0.125 0.625 Hg
0.625 0.625 0.125 Hg
0.625 0.625 0.625 Hg
```

ρ ... 13.5 g cm⁻³
Total energy ... -17.4 eV per cell
Symmetry ... F-43m (216)
Size of the total moment ... 1.4 Bohr magnetons per cell

=====

(6)
DFT (PBE) results for crystalline TaMnHg2 at its relaxed geometry.

Geometry as POSCAR:
```
TaMnHg2
1.0
2.980 0.000 0.000
0.000 4.140 0.000
-0.019 0.000 6.005
Ta Mn Hg
1 1 2
direct
0.000 0.000 0.000 Ta
0.000 0.000 0.500 Mn
0.499 0.500 0.743 Hg
0.501 0.500 0.257 Hg
```

ρ ... 14.3 g cm⁻³
Total energy ... -19.9 eV per cell
Symmetry ... P2/m (10)
Size of the total moment ... 3.1 Bohr magnetons per cell

=====

(7)
DFT (PBE) results for crystalline TaMnHg at its relaxed geometry.

Geometry as POSCAR:
```
TaMnHg
1.0
0.000 3.162 3.162
3.162 0.000 3.162
3.162 3.162 0.000
Ta Mn Hg
1 1 1
direct
0.000 0.000 0.000 Ta
0.250 0.250 0.250 Mn
0.750 0.750 0.750 Hg
```

ρ ... 11.5 g cm⁻³
Relative energy among the computed polymorphs ... 799.7 meV/atom
Total energy ... -18.1 eV per cell
Symmetry ... F-43m (216)
Size of the total moment ... 2.0 Bohr magnetons per cell

=====

(8)
DFT (PBE) results for crystalline Ta2MnHg at its relaxed geometry.

Geometry as POSCAR:
```
Ta2MnHg
1.0
-1.763 2.222 4.359
1.763 -2.222 4.359
1.763 2.222 -4.359
Ta Mn Hg
2 1 1
direct
0.234 0.234 0.000 Ta
0.766 0.766 0.000 Ta
0.000 0.500 0.500 Mn
0.500 0.000 0.500 Hg
```

ρ ... 15.0 g cm⁻³
Total energy ... -32.0 eV per cell
Symmetry ... Immm (71)
Size of the total moment ... 1.6 Bohr magnetons per cell

=====

(9)
DFT (PBE) results for crystalline Ta2MnHg at its relaxed geometry.

Geometry as POSCAR:
```
Ta2MnHg
1.0
3.273 0.000 0.000
0.000 3.273 0.000
0.000 0.000 6.535
Ta Mn Hg
2 1 1
direct
0.000 0.000 0.000 Ta
0.500 0.500 0.255 Ta
0.500 0.500 0.795 Mn
0.000 0.000 0.540 Hg
```

ρ ... 14.7 g cm⁻³
Total energy ... -32.4 eV per cell
Symmetry ... P4mm (99)
Size of the total moment ... 1.6 Bohr magnetons per cell

=====

(10)
DFT (PBE) results for crystalline TaMn4Hg at its relaxed geometry.

Geometry as POSCAR:
```
TaMn4Hg
1.0
0.000 3.431 3.431
3.431 0.000 3.431
3.431 3.431 0.000
Ta Mn Hg
1 4 1
direct
0.000 0.000 0.000 Ta
0.376 0.376 0.376 Mn
0.376 0.376 0.872 Mn
0.376 0.872 0.376 Mn
0.872 0.376 0.376 Mn
0.750 0.750 0.750 Hg
```

ρ ... 12.4 g cm⁻³
Total energy ... -47.9 eV per cell
Symmetry ... F-43m (216)
Size of the total moment ... 2.9 Bohr magnetons per cell

=====

(11)
DFT (PBE) results for crystalline TaMnHg2 at its relaxed geometry.

Geometry as POSCAR:
```
TaMnHg2
1.0
3.019 0.000 0.000
0.000 3.019 0.000
0.000 0.000 8.163
Ta Mn Hg
1 1 2
direct
0.000 0.000 0.000 Ta
0.000 0.000 0.500 Mn
0.500 0.500 0.261 Hg
0.500 0.500 0.739 Hg
```

ρ ... 14.2 g cm⁻³
Total energy ... -20.1 eV per cell
Symmetry ... P4/mmm (123)
Size of the total moment ... 3.8 Bohr magnetons per cell

=====

(12)
DFT (PBE) results for crystalline TaMnHg2 at its relaxed geometry.

Geometry as POSCAR:
```
TaMnHg2
1.0
5.401 -1.558 0.000
5.401 1.558 0.000
-2.167 0.000 4.446
Ta Mn Hg
1 1 2
direct
0.000 0.000 0.000 Ta
0.699 0.699 0.196 Mn
0.225 0.225 0.724 Hg
0.449 0.449 0.450 Hg
```

ρ ... 14.1 g cm⁻³
Total energy ... -19.9 eV per cell
Symmetry ... Cm (8)
Size of the total moment ... 1.7 Bohr magnetons per cell

=====

(13)
DFT (PBE) results for crystalline Ta2MnHg at its relaxed geometry.

Geometry as POSCAR:
```
Ta2MnHg
1.0
0.000 3.274 3.274
3.274 0.000 3.274
3.274 3.274 0.000
Ta Mn Hg
2 1 1
direct
0.000 0.000 0.000 Ta
0.250 0.250 0.250 Ta
0.750 0.750 0.750 Mn
0.500 0.500 0.500 Hg
```

ρ ... 14.6 g cm⁻³
Total energy ... -31.3 eV per cell
Symmetry ... F-43m (216)
Size of the total moment ... 2.2 Bohr magnetons per cell

=====

(14)
DFT (PBE) results for crystalline TaMnHg2 at its relaxed geometry.

Geometry as POSCAR:
```
TaMnHg2
1.0
3.227 0.000 0.000
0.000 3.239 0.000
0.000 0.000 7.157
Ta Mn Hg
1 1 2
direct
0.000 0.000 0.000 Ta
0.500 0.500 0.839 Mn
0.000 0.000 0.582 Hg
0.500 0.500 0.281 Hg
```

ρ ... 14.1 g cm⁻³
Total energy ... -20.4 eV per cell
Symmetry ... Pmm2 (25)
Size of the total moment ... 1.3 Bohr magnetons per cell

=====

(15)
DFT (PBE) results for crystalline Ta3MnHg at its relaxed geometry.

Geometry as POSCAR:
```
Ta3MnHg
1.0
4.970 0.000 0.000
0.000 4.970 0.000
0.000 0.000 4.970
Ta Mn Hg
3 1 1
direct
0.000 0.000 0.500 Ta
0.000 0.500 0.000 Ta
0.500 0.000 0.000 Ta
0.500 0.500 0.500 Mn
0.000 0.000 0.000 Hg
```

ρ ... 10.8 g cm⁻³
Relative energy among the computed polymorphs ... 1983.9 meV/atom
Total energy ... -31.3 eV per cell
Symmetry ... Pm-3m (221)
Size of the total moment ... 0.3 Bohr magnetons per cell

=====

(16)
DFT (PBE) results for crystalline Ta2MnHg at its relaxed geometry.

Geometry as POSCAR:
```
Ta2MnHg
1.0
-2.032 2.032 4.238
2.032 -2.032 4.238
2.032 2.032 -4.238
Ta Mn Hg
2 1 1
direct
0.000 0.000 0.000 Ta
0.750 0.250 0.500 Ta
0.500 0.500 0.000 Mn
0.250 0.750 0.500 Hg
```

ρ ... 14.6 g cm⁻³
Total energy ... -31.6 eV per cell
Symmetry ... I-4m2 (119)
Size of the total moment ... 2.2 Bohr magnetons per cell

=====

(17)
DFT (PBE) results for crystalline Ta2MnHg at its relaxed geometry.

Geometry as POSCAR:
```
Ta2MnHg
1.0
-1.947 1.947 10.103
1.947 -1.947 10.103
1.947 1.947 -10.103
Ta Mn Hg
4 2 2
direct
0.119 0.625 0.994 Ta
0.375 0.369 0.494 Ta
0.631 0.125 0.006 Ta
0.875 0.881 0.506 Ta
0.000 0.000 0.000 Mn
0.750 0.250 0.500 Mn
0.250 0.750 0.500 Hg
0.500 0.500 0.000 Hg
```

ρ ... 13.4 g cm⁻³
Total energy ... -60.2 eV per cell
Symmetry ... I-42d (122)
Size of the total moment ... 5.8 Bohr magnetons per cell

=====

(18)
DFT (PBE) results for crystalline TaMnHg2 at its relaxed geometry.

Geometry as POSCAR:
```
TaMnHg2
1.0
1.526 0.881 9.479
-1.526 0.881 9.479
0.000 -1.762 9.479
Ta Mn Hg
1 1 2
direct
0.000 0.000 0.000 Ta
0.500 0.500 0.500 Mn
0.246 0.246 0.246 Hg
0.754 0.754 0.754 Hg
```

ρ ... 13.8 g cm⁻³
Total energy ... -19.9 eV per cell
Symmetry ... R-3m (166)
Size of the total moment ... 3.6 Bohr magnetons per cell

=====

(19)
DFT (PBE) results for crystalline TaMnHg at its relaxed geometry.

Geometry as POSCAR:
```
TaMnHg
1.0
0.000 2.147 6.459
1.913 0.000 6.459
1.913 2.147 0.000
Ta Mn Hg
1 1 1
direct
0.000 0.000 0.000 Ta
0.650 0.650 0.350 Mn
0.318 0.318 0.682 Hg
```

ρ ... 13.7 g cm⁻³
Relative energy among the computed polymorphs ... 18.3 meV/atom
Total energy ... -20.4 eV per cell
Symmetry ... Fmm2 (42)
Size of the total moment ... 3.3 Bohr magnetons per cell

=====

(20)
DFT (PBE) results for crystalline TaMnHg2 at its relaxed geometry.

Geometry as POSCAR:
```
TaMnHg2
1.0
3.014 -4.277 0.000
3.014 4.277 0.000
0.000 0.000 2.922
Ta Mn Hg
1 1 2
direct
0.000 0.000 0.000 Ta
0.500 0.500 0.000 Mn
0.000 0.500 0.500 Hg
0.500 0.000 0.500 Hg
```

ρ ... 14.0 g cm⁻³
Total energy ... -19.8 eV per cell
Symmetry ... Cmmm (65)
Size of the total moment ... 3.5 Bohr magnetons per cell